# 1
DFT (PBE) results for EuThCuPt after structural relaxation.

- ΔE_f (meV per atom) = -541
- crystal system = cubic
- D(E_F) (states/eV/cell) = 5.3

Cell: 5.0893 5.0893 5.0893 Å, 60.00 60.00 60.00°
Sites, in units of the cell vectors:
Eu  0.0000  0.0000  0.0000
Cu  0.2500  0.2500  0.2500
Pt  0.7500  0.7500  0.7500
Th  0.5000  0.5000  0.5000

---

# 2
DFT (PBE) results for KAuS2 after structural relaxation.

- formation energy without anion corrections (eV/atom) = -0.54
- crystal system = monoclinic

Cell: 3.5685 4.6082 6.6651 Å, 90.34 90.00 90.00°
Sites, in units of the cell vectors:
K  0.5000  0.0000  0.5000
Au  0.5000  0.5000  0.0000
S  0.0000  0.4975  0.2372
S  0.0000  0.5025  0.7628